Record 1
A geometry-optimized SmInHgS3 structure. Source: the Open Quantum Materials Database, functional GGA-PBE. Values from VASP.

Structure (Quantum ESPRESSO input):
```
&SYSTEM
  ibrav = 0, nat = 12, ntyp = 4
/
ATOMIC_SPECIES
Sm 150.36 Sm.upf
In 114.82 In.upf
Hg 200.59 Hg.upf
S 32.06 S.upf
CELL_PARAMETERS angstrom
2.058 -7.485 0.000
2.058 7.485 0.000
0.000 0.000 10.643
ATOMIC_POSITIONS angstrom
Sm 0.000 0.000 0.000
Sm 0.000 0.000 5.321
In 2.058 2.682 7.982
In 2.058 -2.682 2.661
Hg 2.058 2.363 2.661
Hg 2.058 -2.363 7.982
S 2.058 6.623 2.661
S 2.058 1.908 0.286
S 2.058 1.908 5.035
S 2.058 -1.908 5.608
S 2.058 -1.908 10.356
S 2.058 -6.623 7.982
```

VASP energy = -4.302 eV/atom


Record 2
A geometry-optimized InSnHg3S4 structure. Source: the Open Quantum Materials Database, functional GGA-PBE. Values from VASP.

Structure (Quantum ESPRESSO input):
```
&SYSTEM
  ibrav = 0, nat = 9, ntyp = 4
/
ATOMIC_SPECIES
In 114.82 In.upf
Sn 118.71 Sn.upf
Hg 200.59 Hg.upf
S 32.06 S.upf
CELL_PARAMETERS angstrom
6.516 0.000 0.000
0.000 6.516 0.000
0.000 0.000 6.516
ATOMIC_POSITIONS angstrom
In 0.000 0.000 0.000
Sn 3.258 3.258 3.258
Hg 0.000 3.258 3.258
Hg 3.258 0.000 3.258
Hg 3.258 3.258 0.000
S 1.670 1.670 1.670
S 1.670 4.846 4.846
S 4.846 1.670 4.846
S 4.846 4.846 1.670
```

VASP energy = -2.639 eV/atom
excess energy over the best structure of this formula in the dataset = 177 meV/atom


Record 3
A geometry-optimized In2Sn2Hg3S8 structure. Source: the Open Quantum Materials Database, functional GGA-PBE. Values from VASP.

Structure (Quantum ESPRESSO input):
```
&SYSTEM
  ibrav = 0, nat = 15, ntyp = 4
/
ATOMIC_SPECIES
In 114.82 In.upf
Sn 118.71 Sn.upf
Hg 200.59 Hg.upf
S 32.06 S.upf
CELL_PARAMETERS angstrom
6.716 0.000 0.000
-2.880 7.479 0.000
-0.314 -3.609 8.883
ATOMIC_POSITIONS angstrom
In -0.620 2.757 2.163
In 4.142 1.114 6.720
Sn 0.966 -1.570 6.784
Sn 2.556 5.441 2.099
Hg 2.023 -0.706 3.444
Hg 3.358 0.000 0.000
Hg 1.500 4.577 5.439
S -1.792 5.577 1.514
S -1.067 4.014 5.564
S 1.394 0.477 5.534
S 2.384 2.181 0.078
S 1.138 1.689 8.806
S 2.128 3.393 3.349
S 4.589 -0.144 3.319
S 5.314 -1.707 7.369
```

VASP energy = -3.373 eV/atom


Record 4
A geometry-optimized InSnHg3S4 structure. Source: the Open Quantum Materials Database, functional GGA-PBE. Values from VASP.

Structure (Quantum ESPRESSO input):
```
&SYSTEM
  ibrav = 0, nat = 18, ntyp = 4
/
ATOMIC_SPECIES
In 114.82 In.upf
Sn 118.71 Sn.upf
Hg 200.59 Hg.upf
S 32.06 S.upf
CELL_PARAMETERS angstrom
7.048 0.000 0.000
0.000 7.762 0.000
-0.764 0.000 9.379
ATOMIC_POSITIONS angstrom
In 0.082 1.940 1.274
In 6.202 5.821 8.105
Sn 0.402 1.940 6.709
Sn 5.882 5.821 2.670
Hg 1.580 0.101 4.822
Hg 1.580 3.780 4.822
Hg 1.755 5.821 8.859
Hg 4.529 1.940 0.519
Hg 4.704 3.982 4.557
Hg 4.704 7.661 4.557
S 0.752 4.120 2.370
S 0.752 7.523 2.370
S 1.322 1.940 9.023
S 2.700 5.821 5.865
S 3.585 1.940 3.514
S 4.962 5.821 0.356
S 5.532 0.239 7.008
S 5.532 3.642 7.008
```

VASP energy = -2.815 eV/atom
excess energy over the best structure of this formula in the dataset = 0 meV/atom


Record 5
A geometry-optimized TbInHg3S4 structure. Source: the Open Quantum Materials Database, functional GGA-PBE. Values from VASP.

Structure (Quantum ESPRESSO input):
```
&SYSTEM
  ibrav = 0, nat = 9, ntyp = 4
/
ATOMIC_SPECIES
Tb 158.93 Tb.upf
In 114.82 In.upf
Hg 200.59 Hg.upf
S 32.06 S.upf
CELL_PARAMETERS angstrom
6.687 0.000 0.000
0.000 6.687 0.000
0.000 0.000 6.687
ATOMIC_POSITIONS angstrom
Tb 0.000 0.000 0.000
In 3.344 3.344 3.344
Hg 0.000 0.000 3.344
Hg 0.000 3.344 0.000
Hg 3.344 0.000 0.000
S 1.504 1.504 5.183
S 1.504 5.183 1.504
S 5.183 1.504 1.504
S 5.183 5.183 5.183
```

VASP energy = -3.168 eV/atom
excess energy over the best structure of this formula in the dataset = 66 meV/atom


Record 6
A geometry-optimized TbInHgS3 structure. Source: the Open Quantum Materials Database, functional GGA-PBE. Values from VASP.

Structure (Quantum ESPRESSO input):
```
&SYSTEM
  ibrav = 0, nat = 12, ntyp = 4
/
ATOMIC_SPECIES
Tb 158.93 Tb.upf
In 114.82 In.upf
Hg 200.59 Hg.upf
S 32.06 S.upf
CELL_PARAMETERS angstrom
2.014 -7.481 0.000
2.014 7.481 0.000
0.000 0.000 10.554
ATOMIC_POSITIONS angstrom
Tb 0.000 0.000 0.000
Tb 0.000 0.000 5.277
In 2.014 2.622 7.915
In 2.014 -2.622 2.638
Hg 2.014 2.463 2.638
Hg 2.014 -2.463 7.915
S 2.014 6.680 2.638
S 2.014 1.870 0.271
S 2.014 1.870 5.006
S 2.014 -1.870 5.548
S 2.014 -1.870 10.282
S 2.014 -6.680 7.915
```

VASP energy = -4.308 eV/atom


Record 7
A geometry-optimized TbInHg3S4 structure. Source: the Open Quantum Materials Database, functional GGA-PBE. Values from VASP.

Structure (Quantum ESPRESSO input):
```
&SYSTEM
  ibrav = 0, nat = 18, ntyp = 4
/
ATOMIC_SPECIES
Tb 158.93 Tb.upf
In 114.82 In.upf
Hg 200.59 Hg.upf
S 32.06 S.upf
CELL_PARAMETERS angstrom
6.419 0.000 0.000
0.000 7.662 0.000
-0.700 0.000 11.207
ATOMIC_POSITIONS angstrom
Tb 0.615 1.915 2.460
Tb 5.103 5.746 8.747
In 2.575 1.915 7.480
In 3.143 5.746 3.727
Hg 0.552 0.209 10.662
Hg 0.552 3.621 10.662
Hg 1.763 5.746 7.474
Hg 3.956 1.915 3.733
Hg 5.166 4.040 0.544
Hg 5.166 7.452 0.544
S 0.308 0.090 8.053
S 0.308 3.741 8.053
S 1.777 1.915 4.775
S 2.834 1.915 0.679
S 2.885 5.746 10.528
S 3.941 5.746 6.431
S 5.411 3.921 3.154
S 5.411 7.572 3.154
```

VASP energy = -3.234 eV/atom
excess energy over the best structure of this formula in the dataset = 0 meV/atom


Record 8
A geometry-optimized In2HgTe3S structure. Source: the Open Quantum Materials Database, functional GGA-PBE. Values from VASP.

Structure (Quantum ESPRESSO input):
```
&SYSTEM
  ibrav = 0, nat = 7, ntyp = 4
/
ATOMIC_SPECIES
In 114.82 In.upf
Hg 200.59 Hg.upf
Te 127.60 Te.upf
S 32.06 S.upf
CELL_PARAMETERS angstrom
6.264 0.000 0.000
-0.187 6.293 0.000
-2.895 -3.231 6.150
ATOMIC_POSITIONS angstrom
In 0.000 0.000 0.000
In -0.202 3.114 3.213
Hg 2.922 3.024 0.044
Te 1.521 4.841 1.756
Te 1.688 1.354 4.434
Te 4.440 1.285 1.760
S -1.514 -1.742 4.651
```

VASP energy = -3.086 eV/atom


Record 9
A geometry-optimized TlInHgS3 structure. Source: the Open Quantum Materials Database, functional GGA-PBE. Values from VASP.

Structure (Quantum ESPRESSO input):
```
&SYSTEM
  ibrav = 0, nat = 24, ntyp = 4
/
ATOMIC_SPECIES
Tl 204.38 Tl.upf
In 114.82 In.upf
Hg 200.59 Hg.upf
S 32.06 S.upf
CELL_PARAMETERS angstrom
7.107 -1.999 0.000
7.107 1.999 0.000
-5.260 0.000 21.142
ATOMIC_POSITIONS angstrom
Tl 4.013 1.557 12.244
Tl 2.311 1.557 19.468
Tl 6.643 -1.557 1.674
Tl 4.942 -1.557 8.897
In 1.740 0.235 6.859
In -0.890 -0.235 17.430
In 9.844 0.235 3.712
In 7.214 -0.235 14.283
Hg 3.554 0.999 0.000
Hg 5.792 0.270 5.285
Hg 0.924 -0.999 10.571
Hg 3.162 -0.270 15.856
S 1.066 0.228 4.297
S -1.565 -0.228 14.868
S 2.487 0.339 9.365
S 4.554 0.240 3.230
S -0.144 -0.339 19.935
S 1.924 -0.240 13.801
S 7.030 0.240 7.341
S 9.098 0.339 1.206
S 4.400 -0.240 17.912
S 6.468 -0.339 11.777
S 10.519 0.228 6.274
S 7.889 -0.228 16.845
```

VASP energy = -3.353 eV/atom


Record 10
A geometry-optimized TmInHgS3 structure. Source: the Open Quantum Materials Database, functional GGA-PBE. Values from VASP.

Structure (Quantum ESPRESSO input):
```
&SYSTEM
  ibrav = 0, nat = 12, ntyp = 4
/
ATOMIC_SPECIES
Tm 168.93 Tm.upf
In 114.82 In.upf
Hg 200.59 Hg.upf
S 32.06 S.upf
CELL_PARAMETERS angstrom
1.962 -7.590 0.000
1.962 7.590 0.000
0.000 0.000 10.401
ATOMIC_POSITIONS angstrom
Tm 0.000 0.000 0.000
Tm 0.000 0.000 5.200
In 1.962 2.531 7.800
In 1.962 -2.531 2.600
Hg 1.962 2.733 2.600
Hg 1.962 -2.733 7.800
S 1.962 6.848 2.600
S 1.962 1.833 0.277
S 1.962 1.833 4.923
S 1.962 -1.833 5.477
S 1.962 -1.833 10.124
S 1.962 -6.848 7.800
```

VASP energy = -4.293 eV/atom


Record 11
A geometry-optimized InHg3WS4 structure. Source: the Open Quantum Materials Database, functional GGA-PBE. Values from VASP.

Structure (Quantum ESPRESSO input):
```
&SYSTEM
  ibrav = 0, nat = 9, ntyp = 4
/
ATOMIC_SPECIES
In 114.82 In.upf
Hg 200.59 Hg.upf
W 183.84 W.upf
S 32.06 S.upf
CELL_PARAMETERS angstrom
7.331 0.000 0.000
0.000 7.331 0.000
0.000 0.000 7.331
ATOMIC_POSITIONS angstrom
In 0.000 0.000 0.000
Hg 0.000 3.666 3.666
Hg 3.666 0.000 3.666
Hg 3.666 3.666 0.000
W 3.666 3.666 3.666
S 2.379 2.379 2.379
S 2.379 4.952 4.952
S 4.952 2.379 4.952
S 4.952 4.952 2.379
```

VASP energy = -3.613 eV/atom


Record 12
A geometry-optimized YInHgS3 structure. Source: the Open Quantum Materials Database, functional GGA-PBE. Values from VASP.

Structure (Quantum ESPRESSO input):
```
&SYSTEM
  ibrav = 0, nat = 12, ntyp = 4
/
ATOMIC_SPECIES
Y 88.91 Y.upf
In 114.82 In.upf
Hg 200.59 Hg.upf
S 32.06 S.upf
CELL_PARAMETERS angstrom
1.997 -7.538 0.000
1.997 7.538 0.000
0.000 0.000 10.499
ATOMIC_POSITIONS angstrom
Y 0.000 0.000 0.000
Y 0.000 0.000 5.249
In 1.997 2.594 7.874
In 1.997 -2.594 2.625
Hg 1.997 2.601 2.625
Hg 1.997 -2.601 7.874
S 1.997 6.739 2.625
S 1.997 1.869 0.273
S 1.997 1.869 4.977
S 1.997 -1.869 5.522
S 1.997 -1.869 10.226
S 1.997 -6.739 7.874
```

VASP energy = -4.621 eV/atom


Record 13
A geometry-optimized InHgSb structure. Source: the Open Quantum Materials Database, functional GGA-PBE. Values from VASP.

Structure (Quantum ESPRESSO input):
```
&SYSTEM
  ibrav = 0, nat = 3, ntyp = 3
/
ATOMIC_SPECIES
In 114.82 In.upf
Hg 200.59 Hg.upf
Sb 121.76 Sb.upf
CELL_PARAMETERS angstrom
0.000 3.601 3.601
3.601 0.000 3.601
3.601 3.601 0.000
ATOMIC_POSITIONS angstrom
In 0.000 0.000 0.000
Hg 3.601 3.601 3.601
Sb 5.402 5.402 5.402
```

VASP energy = -2.337 eV/atom


Record 14
A geometry-optimized Sc4In3Hg2 structure. Source: the Open Quantum Materials Database, functional GGA-PBE. Values from VASP.

Structure (Quantum ESPRESSO input):
```
&SYSTEM
  ibrav = 0, nat = 9, ntyp = 3
/
ATOMIC_SPECIES
Sc 44.96 Sc.upf
In 114.82 In.upf
Hg 200.59 Hg.upf
CELL_PARAMETERS angstrom
8.263 0.000 0.000
-4.132 7.156 0.000
0.000 0.000 3.369
ATOMIC_POSITIONS angstrom
Sc 0.000 0.000 0.000
Sc 1.705 2.459 0.000
Sc 5.281 0.247 0.000
Sc 5.409 4.450 0.000
In -1.071 2.306 1.685
In -1.599 6.931 1.685
In 2.671 5.076 1.685
Hg 0.000 4.771 0.000
Hg 4.132 2.385 1.685
```

VASP energy = -4.062 eV/atom


Record 15
A geometry-optimized Sc2InHg5 structure. Source: the Open Quantum Materials Database, functional GGA-PBE. Values from VASP.

Structure (Quantum ESPRESSO input):
```
&SYSTEM
  ibrav = 0, nat = 8, ntyp = 3
/
ATOMIC_SPECIES
Sc 44.96 Sc.upf
In 114.82 In.upf
Hg 200.59 Hg.upf
CELL_PARAMETERS angstrom
4.952 0.000 0.000
0.000 3.233 5.560
0.000 -3.233 5.560
ATOMIC_POSITIONS angstrom
Sc 0.000 0.000 0.000
Sc 2.476 0.000 3.640
In 0.000 0.000 5.594
Hg 0.000 -1.582 2.818
Hg 0.000 1.582 2.818
Hg 2.476 -1.654 6.438
Hg 2.476 1.654 6.438
Hg 2.476 0.000 9.283
```

VASP energy = -2.346 eV/atom


Record 16
A geometry-optimized SmInHgSe3 structure. Source: the Open Quantum Materials Database, functional GGA-PBE. Values from VASP.

Structure (Quantum ESPRESSO input):
```
&SYSTEM
  ibrav = 0, nat = 12, ntyp = 4
/
ATOMIC_SPECIES
Sm 150.36 Sm.upf
In 114.82 In.upf
Hg 200.59 Hg.upf
Se 78.96 Se.upf
CELL_PARAMETERS angstrom
2.139 -7.198 0.000
2.139 7.198 0.000
0.000 0.000 11.164
ATOMIC_POSITIONS angstrom
Sm 0.000 0.000 0.000
Sm 0.000 0.000 5.582
In 2.139 3.574 8.373
In 2.139 -3.574 2.791
Hg 2.139 0.600 2.791
Hg 2.139 -0.600 8.373
Se 2.139 6.038 2.791
Se 2.139 1.986 0.541
Se 2.139 1.986 5.041
Se 2.139 -1.986 6.123
Se 2.139 -1.986 10.623
Se 2.139 -6.038 8.373
```

VASP energy = -3.919 eV/atom


Record 17
A geometry-optimized TbInHgSe3 structure. Source: the Open Quantum Materials Database, functional GGA-PBE. Values from VASP.

Structure (Quantum ESPRESSO input):
```
&SYSTEM
  ibrav = 0, nat = 12, ntyp = 4
/
ATOMIC_SPECIES
Tb 158.93 Tb.upf
In 114.82 In.upf
Hg 200.59 Hg.upf
Se 78.96 Se.upf
CELL_PARAMETERS angstrom
2.113 -7.217 0.000
2.113 7.217 0.000
0.000 0.000 11.033
ATOMIC_POSITIONS angstrom
Tb 0.000 0.000 0.000
Tb 0.000 0.000 5.516
In 2.113 3.574 8.274
In 2.113 -3.574 2.758
Hg 2.113 0.633 2.758
Hg 2.113 -0.633 8.274
Se 2.113 6.075 2.758
Se 2.113 1.963 0.488
Se 2.113 1.963 5.028
Se 2.113 -1.963 6.004
Se 2.113 -1.963 10.545
Se 2.113 -6.075 8.274
```

VASP energy = -3.901 eV/atom


Record 18
A geometry-optimized TmInHgSe3 structure. Source: the Open Quantum Materials Database, functional GGA-PBE. Values from VASP.

Structure (Quantum ESPRESSO input):
```
&SYSTEM
  ibrav = 0, nat = 12, ntyp = 4
/
ATOMIC_SPECIES
Tm 168.93 Tm.upf
In 114.82 In.upf
Hg 200.59 Hg.upf
Se 78.96 Se.upf
CELL_PARAMETERS angstrom
2.089 -7.224 0.000
2.089 7.224 0.000
0.000 0.000 10.946
ATOMIC_POSITIONS angstrom
Tm 0.000 0.000 0.000
Tm 0.000 0.000 5.473
In 2.089 3.554 8.209
In 2.089 -3.554 2.736
Hg 2.089 0.683 2.736
Hg 2.089 -0.683 8.209
Se 2.089 6.111 2.736
Se 2.089 1.934 0.434
Se 2.089 1.934 5.039
Se 2.089 -1.934 5.907
Se 2.089 -1.934 10.512
Se 2.089 -6.111 8.209
```

VASP energy = -3.856 eV/atom
excess energy over the best structure of this formula in the dataset = 0 meV/atom


Record 19
A geometry-optimized TmInHgSe3 structure. Source: the Open Quantum Materials Database, functional GGA-PBE. Values from VASP.

Structure (Quantum ESPRESSO input):
```
&SYSTEM
  ibrav = 0, nat = 24, ntyp = 4
/
ATOMIC_SPECIES
Tm 168.93 Tm.upf
In 114.82 In.upf
Hg 200.59 Hg.upf
Se 78.96 Se.upf
CELL_PARAMETERS angstrom
12.522 0.000 0.000
0.000 4.184 0.000
0.000 0.000 12.700
ATOMIC_POSITIONS angstrom
Tm 0.451 1.046 2.125
Tm 5.810 3.138 8.475
Tm 6.712 1.046 4.225
Tm 12.071 3.138 10.575
In 2.012 1.046 6.694
In 4.249 3.138 0.344
In 8.273 1.046 12.356
In 10.510 3.138 6.006
Hg 2.988 3.138 4.176
Hg 3.273 1.046 10.526
Hg 9.249 3.138 2.174
Hg 9.534 1.046 8.524
Se 0.328 3.138 4.087
Se 1.047 1.046 11.901
Se 3.030 3.138 8.585
Se 3.231 1.046 2.235
Se 5.214 3.138 5.551
Se 5.933 1.046 10.437
Se 6.589 3.138 2.263
Se 7.308 1.046 7.149
Se 9.291 3.138 10.465
Se 9.492 1.046 4.115
Se 11.475 3.138 0.799
Se 12.194 1.046 8.613
```

VASP energy = -3.823 eV/atom
excess energy over the best structure of this formula in the dataset = 33 meV/atom


Record 20
A geometry-optimized YInHgSe3 structure. Source: the Open Quantum Materials Database, functional GGA-PBE. Values from VASP.

Structure (Quantum ESPRESSO input):
```
&SYSTEM
  ibrav = 0, nat = 12, ntyp = 4
/
ATOMIC_SPECIES
Y 88.91 Y.upf
In 114.82 In.upf
Hg 200.59 Hg.upf
Se 78.96 Se.upf
CELL_PARAMETERS angstrom
2.095 -7.190 0.000
2.095 7.190 0.000
0.000 0.000 10.964
ATOMIC_POSITIONS angstrom
Y 0.000 0.000 0.000
Y 0.000 0.000 5.482
In 2.095 3.570 8.223
In 2.095 -3.570 2.741
Hg 2.095 0.642 2.741
Hg 2.095 -0.642 8.223
Se 2.095 6.042 2.741
Se 2.095 1.970 0.470
Se 2.095 1.970 5.012
Se 2.095 -1.970 5.952
Se 2.095 -1.970 10.494
Se 2.095 -6.042 8.223
```

VASP energy = -4.206 eV/atom